{"formula": "Be3ClO", "functional": "PBE", "state": "relaxed", "energy_ev_per_atom": -2.111, "raw_formation_energy_ev_per_atom": 1.4861, "lattice": [[4.066, 0.000, 0.000], [0.000, 4.066, 0.000], [0.000, 0.000, 4.066]], "species": ["Be", "Be", "Be", "Cl", "O"], "fractional_positions": [[0.000, 0.000, 0.500], [0.000, 0.500, 0.000], [0.500, 0.000, 0.000], [0.000, 0.000, 0.000], [0.500, 0.500, 0.500]]}

---

{"formula": "BeReNiPt2", "functional": "PBE", "state": "relaxed", "energy_ev_per_atom": -5.754, "delta_e_f_ev_per_atom": 1.05, "lattice": [[4.602, 0.000, 0.000], [0.000, 4.602, 0.000], [0.000, 0.000, 3.670]], "species": ["Be", "Re", "Ni", "Pt", "Pt"], "fractional_positions": [[0.000, 0.000, 0.000], [0.500, 0.500, 0.000], [0.000, 0.000, 0.500], [0.000, 0.500, 0.500], [0.500, 0.000, 0.500]]}

---

{"formula": "LiAs2SBr", "functional": "PBE", "state": "relaxed", "energy_ev_per_atom": -2.813, "raw_formation_energy_ev_per_atom": 0.5892, "lattice": [[4.826, 0.000, 0.000], [0.000, 4.826, 0.000], [0.000, 0.000, 4.429]], "species": ["Li", "As", "As", "S", "Br"], "fractional_positions": [[0.000, 0.000, 0.000], [0.000, 0.500, 0.000], [0.500, 0.000, 0.000], [0.500, 0.500, 0.500], [0.000, 0.000, 0.500]]}

---

{"formula": "KTaNi", "functional": "PBE", "state": "relaxed", "energy_ev_per_atom": -4.831, "delta_e_f_ev_per_atom": 1.41, "lattice": [[4.981, 0.000, 0.000], [-2.490, 4.314, 0.000], [0.000, 0.000, 2.718]], "species": ["K", "Ta", "Ni"], "fractional_positions": [[0.000, 0.000, 0.000], [0.333, 0.667, 0.661], [0.667, 0.333, 0.374]]}

---

{"formula": "KAg4Cl8", "functional": "PBE", "state": "relaxed", "energy_ev_per_atom": -2.657, "raw_formation_energy_ev_per_atom": -0.5587, "lattice": [[3.910, 2.257, 7.444], [-3.910, 2.257, 7.444], [0.000, -4.515, 7.444]], "species": ["K", "Ag", "Ag", "Ag", "Ag", "Cl", "Cl", "Cl", "Cl", "Cl", "Cl", "Cl", "Cl"], "fractional_positions": [[0.000, 0.000, 0.000], [0.000, 0.000, 0.500], [0.000, 0.500, 0.000], [0.500, 0.000, 0.000], [0.500, 0.500, 0.500], [0.228, 0.228, 0.228], [0.228, 0.732, 0.732], [0.268, 0.268, 0.772], [0.268, 0.772, 0.268], [0.732, 0.228, 0.732], [0.732, 0.732, 0.228], [0.772, 0.268, 0.268], [0.772, 0.772, 0.772]]}

---

{"formula": "TiCrMo3", "functional": "PBE", "state": "relaxed", "energy_ev_per_atom": -8.209, "delta_e_f_ev_per_atom": 1.79, "lattice": [[4.499, 0.000, 0.000], [0.000, 4.499, 0.000], [0.000, 0.000, 4.499]], "species": ["Ti", "Cr", "Mo", "Mo", "Mo"], "fractional_positions": [[0.000, 0.000, 0.000], [0.500, 0.500, 0.500], [0.000, 0.000, 0.500], [0.000, 0.500, 0.000], [0.500, 0.000, 0.000]]}